## Sr2TiFeO6 (PBE with a Hubbard U)

Data for a relaxed structure of Sr2TiFeO6.

abc: 3.9364 3.9364 7.8368
angles: 90.00 90.00 90.00
Closest atoms and distances in Å follow each position.
Element x y z (fractional)
Fe1 0.5000 0.5000 0.5000  6 O 1.96-1.97
Ti1 0.5000 0.5000 0.0000  6 O 1.96-1.97
Sr1 0.0000 0.0000 0.7449  12 O 2.75-2.81
O1 0.5000 0.5000 0.7502  1 Ti 1.96, 1 Fe 1.96
O2 0.0000 0.5000 0.5000  2 Fe 1.97
O3 0.5000 0.0000 0.5000  2 Fe 1.97
O4 0.5000 0.0000 0.0000  2 Ti 1.97
O5 0.5000 0.5000 0.2498  1 Ti 1.96, 1 Fe 1.96
O6 0.0000 0.5000 0.0000  2 Ti 1.97
Sr2 0.0000 0.0000 0.2551  12 O 2.75-2.81

Output
magnetization	4.2	μB per cell
total energy	-7.186	eV per atom